VASP calculation (PBE) on a relaxed CaAcAl2Au2 crystal.

Cell lengths 4.634, 4.634, 7.800 Å; angles 90.00, 90.00, 120.00 degrees
Fractional positions:
Ca  0.000  0.000  0.500
Ac  0.000  0.000  0.000
Al  0.667  0.333  0.710
Al  0.333  0.667  0.290
Au  0.667  0.333  0.281
Au  0.333  0.667  0.719

Results
- DFT formation energy (kJ/mol of formula units) = -375
- Fermi-level density of states (states/eV per cell) = 5.34
- raw total energy (eV per cell) = -24.03
- SG = P-3m1, No. 164

***

VASP calculation (PBE) on a relaxed CaAcAlAu crystal.

Cell lengths 5.422, 5.422, 5.422 Å; angles 60.00, 60.00, 60.00 degrees
Fractional positions:
Ac  0.750  0.750  0.750
Au  0.000  0.000  0.000
Ca  0.250  0.250  0.250
Al  0.500  0.500  0.500

Results
- DFT formation energy (kJ/mol of formula units) = -183
- Fermi-level density of states (states/eV per cell) = 3.90
- raw total energy (eV per cell) = -15.02
- SG = F-43m, No. 216